A plane-wave DFT calculation with PBE with a Hubbard U was carried out for a relaxed structure of LiPa2NiO8.

Total magnetization ... 0.9 μB per formula unit
N(E_F) ... 5.40 states/eV/f.u.
VASP energy ... -7.3654 eV per atom

The structure in POSCAR format:
```
LiPa2NiO8
1.0
-5.113 -1.178 0.851
2.757 -2.643 -3.698
1.715 -4.300 4.351
O Pa Ni Li
8 2 1 1
direct
0.667 0.333 0.445
0.901 0.665 0.846
0.764 0.099 0.846
0.333 0.667 0.555
0.665 0.764 0.154
0.099 0.335 0.154
0.335 0.236 0.846
0.236 0.901 0.154
0.333 0.667 0.853
0.667 0.333 0.147
0.000 0.000 0.000
0.000 0.000 0.500
```